[1]
## Li2Pm3In4 (PBE-GGA)

Data for a relaxed structure of Li2Pm3In4.

abc: 4.9664 6.1084 9.4363
angles: 115.32 90.00 113.99
Atoms (fractional coordinates):
Li: 0.6070 0.2140 0.2772
Li: 0.3930 0.7860 0.7228
Pm: 0.6667 0.3334 0.6584
Pm: 0.0000 0.0000 0.0000
Pm: 0.3333 0.6666 0.3416
In: 0.7339 0.4677 0.0787
In: 0.2661 0.5323 0.9213
In: 0.9537 0.9074 0.6258
In: 0.0463 0.0926 0.3742

- final energy (eV/atom) = -3.66
- density (g/cm3) = 6.53
- space-group type = C2/m, No. 12



[2]
## CdAsIr2 (PBE-GGA)

Data for a relaxed structure of CdAsIr2.

abc: 3.4933 4.3097 4.3097
angles: 90.00 90.00 90.00
Atoms (fractional coordinates):
As: 0.5000 0.5000 0.0000
Ir: 0.0000 0.0000 0.0000
Ir: 0.0000 0.5000 0.5000
Cd: 0.5000 0.0000 0.5000

- final energy (eV/atom) = -5.50
- energy relative to the lowest polymorph listed for this composition (meV/atom) = 226
- density (g/cm3) = 14.63
- space-group type = P4/mmm, No. 123



| no. | formation energy from the elements (eV/atom) |
| --- | --- |
| 1 | -0.43 |
| 2 | 0.32 |